(1)
Compound: BH3Cl
Source: Alexandria via LeMat-Bulk
Functional: PBE
Structure: optimized geometry

Results
DOS(E_F) = 0.321 states/eV per atom
total DFT energy (no corrections) = -0.273 Ry per atom
crystal system = monoclinic
magnetic moment = 0.00 μB/cell

abc: 2.8528 7.7940 5.5957
angles: 90.00 102.94 90.00
Space group P2_1/m (No. 11)
One atom of each set of equivalent atoms:
B 0.1522 0.2500 0.2726 (multiplicity 2)
H 0.1101 0.1105 0.1763 (multiplicity 4)
H 0.3775 0.7500 0.7951 (multiplicity 2)
Cl 0.2995 0.2500 0.6086 (multiplicity 2)

---

(2)
Compound: BHCl3
Source: Alexandria via LeMat-Bulk
Functional: PBE
Structure: optimized geometry

Results
DOS(E_F) = 0.948 states/eV per atom
total DFT energy (no corrections) = -0.137 Ry per atom
crystal system = cubic
magnetic moment = 0.83 μB/cell

abc: 4.3839 4.3839 4.3839
angles: 90.00 90.00 90.00
Space group Pm-3m (No. 221)
One atom of each set of equivalent atoms:
B 0.0000 0.0000 0.0000 (multiplicity 1)
H 0.5000 0.5000 0.5000 (multiplicity 1)
Cl 0.0000 0.5000 0.5000 (multiplicity 3)

---

(3)
Compound: HfB2HCl
Source: Alexandria via LeMat-Bulk
Functional: PBE
Structure: optimized geometry

Results
DOS(E_F) = 0.272 states/eV per atom
total DFT energy (no corrections) = -0.350 Ry per atom
crystal system = tetragonal
magnetic moment = 0.00 μB/cell

abc: 3.4112 3.4112 4.7123
angles: 90.00 90.00 90.00
Space group P4/mmm (No. 123)
One atom of each set of equivalent atoms:
Hf 0.0000 0.0000 0.0000 (multiplicity 1)
B 0.0000 0.5000 0.5000 (multiplicity 2)
H 0.0000 0.0000 0.5000 (multiplicity 1)
Cl 0.5000 0.5000 0.0000 (multiplicity 1)

---

(4)
Compound: La2BHCl
Source: Alexandria via LeMat-Bulk
Functional: PBE
Structure: optimized geometry

Results
DOS(E_F) = 0.977 states/eV per atom
total DFT energy (no corrections) = -0.302 Ry per atom
crystal system = tetragonal
magnetic moment = 0.00 μB/cell

abc: 5.4437 5.4437 3.5417
angles: 90.00 90.00 90.00
Space group P4/mmm (No. 123)
One atom of each set of equivalent atoms:
La 0.0000 0.5000 0.0000 (multiplicity 2)
B 0.0000 0.0000 0.5000 (multiplicity 1)
H 0.5000 0.5000 0.5000 (multiplicity 1)
Cl 0.5000 0.5000 0.0000 (multiplicity 1)

---

(5)
Compound: NbBH2Cl
Source: Alexandria via LeMat-Bulk
Functional: PBE
Structure: optimized geometry

Results
DOS(E_F) = 0.492 states/eV per atom
total DFT energy (no corrections) = -0.300 Ry per atom
crystal system = tetragonal
magnetic moment = 1.37 μB/cell

abc: 3.7338 3.7338 4.9091
angles: 90.00 90.00 90.00
Space group P4/mmm (No. 123)
One atom of each set of equivalent atoms:
Nb 0.0000 0.0000 0.0000 (multiplicity 1)
B 0.5000 0.5000 0.5000 (multiplicity 1)
H 0.0000 0.5000 0.0000 (multiplicity 2)
Cl 0.0000 0.0000 0.5000 (multiplicity 1)

---

(6)
Compound: BP2HCl
Source: Alexandria via LeMat-Bulk
Functional: PBE
Structure: optimized geometry

Results
DOS(E_F) = 0.409 states/eV per atom
total DFT energy (no corrections) = -0.245 Ry per atom
crystal system = tetragonal
magnetic moment = 0.73 μB/cell

abc: 3.9607 3.9607 5.0206
angles: 90.00 90.00 90.00
Space group P4/mmm (No. 123)
One atom of each set of equivalent atoms:
B 0.0000 0.0000 0.0000 (multiplicity 1)
P 0.0000 0.5000 0.0000 (multiplicity 2)
H 0.5000 0.5000 0.5000 (multiplicity 1)
Cl 0.0000 0.0000 0.5000 (multiplicity 1)

---

(7)
Compound: BP2HCl
Source: Alexandria via LeMat-Bulk
Functional: PBE
Structure: optimized geometry

Results
DOS(E_F) = 0.451 states/eV per atom
total DFT energy (no corrections) = -0.244 Ry per atom
crystal system = tetragonal
magnetic moment = 0.00 μB/cell

abc: 3.4773 3.4773 7.0174
angles: 90.00 90.00 90.00
Space group P4/mmm (No. 123)
One atom of each set of equivalent atoms:
B 0.0000 0.0000 0.0000 (multiplicity 1)
P 0.0000 0.5000 0.5000 (multiplicity 2)
H 0.5000 0.5000 0.5000 (multiplicity 1)
Cl 0.5000 0.5000 0.0000 (multiplicity 1)

---

(8)
Compound: BPHCl2
Source: Alexandria via LeMat-Bulk
Functional: PBE
Structure: optimized geometry

Results
DOS(E_F) = 0.366 states/eV per atom
total DFT energy (no corrections) = -0.195 Ry per atom
crystal system = tetragonal
magnetic moment = 0.00 μB/cell

abc: 4.9153 4.9153 3.2447
angles: 90.00 90.00 90.00
Space group P4/mmm (No. 123)
One atom of each set of equivalent atoms:
B 0.0000 0.0000 0.0000 (multiplicity 1)
P 0.5000 0.5000 0.0000 (multiplicity 1)
H 0.5000 0.5000 0.5000 (multiplicity 1)
Cl 0.0000 0.5000 0.5000 (multiplicity 2)

---

(9)
Compound: BPHCl2
Source: Alexandria via LeMat-Bulk
Functional: PBE
Structure: optimized geometry

Results
DOS(E_F) = 0.564 states/eV per atom
total DFT energy (no corrections) = -0.210 Ry per atom
crystal system = tetragonal
magnetic moment = 1.20 μB/cell

abc: 4.6997 4.6997 3.8177
angles: 90.00 90.00 90.00
Space group P4/mmm (No. 123)
One atom of each set of equivalent atoms:
B 0.0000 0.0000 0.0000 (multiplicity 1)
P 0.0000 0.0000 0.5000 (multiplicity 1)
H 0.5000 0.5000 0.5000 (multiplicity 1)
Cl 0.0000 0.5000 0.0000 (multiplicity 2)

---

(10)
Compound: BHPdCl2
Source: Alexandria via LeMat-Bulk
Functional: PBE
Structure: optimized geometry

Results
DOS(E_F) = 0.117 states/eV per atom
total DFT energy (no corrections) = -0.210 Ry per atom
crystal system = tetragonal
magnetic moment = 0.00 μB/cell

abc: 4.8028 4.8028 3.3782
angles: 90.00 90.00 90.00
Space group P4/mmm (No. 123)
One atom of each set of equivalent atoms:
B 0.0000 0.0000 0.0000 (multiplicity 1)
H 0.5000 0.5000 0.5000 (multiplicity 1)
Pd 0.5000 0.5000 0.0000 (multiplicity 1)
Cl 0.0000 0.5000 0.5000 (multiplicity 2)

---

(11)
Compound: Pr4BHCl2
Source: Alexandria via LeMat-Bulk
Functional: PBE
Structure: optimized geometry

Results
DOS(E_F) = 0.445 states/eV per atom
total DFT energy (no corrections) = -0.366 Ry per atom
crystal system = monoclinic
magnetic moment = 0.00 μB/cell

abc: 6.6052 3.9280 7.5225
angles: 90.00 106.36 90.00
Space group P2/m (No. 10)
One atom of each set of equivalent atoms:
Pr 0.2373 0.0000 0.1931 (multiplicity 2)
Pr 0.2554 0.5000 0.7889 (multiplicity 2)
B 0.0000 0.5000 0.0000 (multiplicity 1)
H 0.5000 0.0000 0.0000 (multiplicity 1)
Cl 0.0000 0.0000 0.5000 (multiplicity 1)
Cl 0.5000 0.5000 0.5000 (multiplicity 1)

---

(12)
Compound: Rb3B12H12Cl
Source: Alexandria via LeMat-Bulk
Functional: PBE
Structure: optimized geometry

Results
DOS(E_F) = 0.000 states/eV per atom
total DFT energy (no corrections) = -0.365 Ry per atom
crystal system = trigonal
magnetic moment = 0.32 μB/cell

abc: 10.1498 10.1498 11.5240
angles: 90.00 90.00 120.00
Space group R-3m (No. 166, hexagonal axes)
One atom of each set of equivalent atoms:
Rb 0.0000 0.5000 0.0000 (multiplicity 9)
B 0.0582 0.1165 0.8834 (multiplicity 18)
B 0.0945 0.1889 0.0277 (multiplicity 18)
H 0.0100 0.5050 0.7154 (multiplicity 18)
H 0.0997 0.1994 0.8006 (multiplicity 18)
Cl 0.0000 0.0000 0.5000 (multiplicity 3)

---

Volume per entry: 12.13; 16.85; 10.97; 20.99; 13.69; 15.75; 16.97; 15.68; 16.86; 15.58; 23.41; 12.24 Å³ per atom